Record 1
# LiLa2AgH | Alexandria | PBE | optimized geometry
# Distance to the lowest polymorph of the same formula in eV/f.u.: 0.00
data_LiLa2AgH
_space_group_name_H-M_alt 'P 4/m m m'
_space_group_IT_number 123
_space_group_name_Hall '-P 4 2'
_cell_length_a 5.239
_cell_length_b 5.239
_cell_length_c 4.058
_cell_angle_alpha 90.00
_cell_angle_beta 90.00
_cell_angle_gamma 90.00
loop_
_atom_site_label
_atom_site_type_symbol
_atom_site_fract_x
_atom_site_fract_y
_atom_site_fract_z
Li1 Li 0.000 0.000 0.000
La1 La 0.000 0.500 0.500
Ag1 Ag 0.500 0.500 0.000
H1 H 0.000 0.000 0.500

Record 2
# La2MgAgH | Alexandria | PBE | optimized geometry
# Distance to the lowest polymorph of the same formula in eV/f.u.: 0.00
data_La2MgAgH
_space_group_name_H-M_alt 'P 4/m m m'
_space_group_IT_number 123
_space_group_name_Hall '-P 4 2'
_cell_length_a 5.104
_cell_length_b 5.104
_cell_length_c 4.442
_cell_angle_alpha 90.00
_cell_angle_beta 90.00
_cell_angle_gamma 90.00
loop_
_atom_site_label
_atom_site_type_symbol
_atom_site_fract_x
_atom_site_fract_y
_atom_site_fract_z
La1 La 0.000 0.500 0.000
Mg1 Mg 0.000 0.000 0.500
Ag1 Ag 0.500 0.500 0.500
H1 H 0.000 0.000 0.000

Record 3
# La6Ag2HN | Alexandria | PBE | optimized geometry
# Energy in eV/atom: -5.14
data_La6Ag2HN
_space_group_name_H-M_alt 'P 1 21/c 1'
_space_group_IT_number 14
_cell_length_a 6.809
_cell_length_b 7.471
_cell_length_c 12.473
_cell_angle_alpha 90.00
_cell_angle_beta 122.15
_cell_angle_gamma 90.00
loop_
_space_group_symop_operation_xyz
'x,y,z'
'-x,-y,-z'
'-x,y+1/2,-z+1/2'
'x,-y+1/2,z+1/2'
loop_
_atom_site_label
_atom_site_type_symbol
_atom_site_fract_x
_atom_site_fract_y
_atom_site_fract_z
La1 La 0.122 0.020 0.236
La2 La 0.221 0.709 0.045
La3 La 0.353 0.187 0.046
Ag1 Ag 0.313 0.087 0.749
H1 H 0.500 0.000 0.500
N1 N 0.000 0.000 0.000